1.
La3Y8Er3 (PBE, relaxed); energy of formation from the pure elements = 109 meV/atom; magnetization = 0.00 μB/atom
1.0
-2.450 5.172 -0.223
-3.194 2.046 9.013
7.181 6.519 -1.250
Y La Er
8 3 3
Cartesian
1.620 10.448 3.892 Y
-0.083 3.289 3.649 Y
-2.533 5.346 4.721 Y
4.070 8.391 2.819 Y
-0.482 9.541 5.971 Y
1.993 7.297 0.244 Y
2.019 4.195 1.570 Y
-0.457 6.439 7.297 Y
5.277 5.698 0.634 La
-1.225 2.586 -0.111 La
-1.290 2.867 7.130 La
0.768 6.868 3.770 Er
-1.147 5.861 1.396 Er
2.683 7.875 6.145 Er

=====

2.
PrAl3Au3 (PBE, relaxed); excess energy over the best structure of this formula in the dataset = 58 kJ/mol of formula units; energy of formation from the pure elements = -426 meV/atom; magnetization = 0.00 μB/atom
1.0
-7.070 0.639 -4.539
-2.175 -6.177 -5.303
-5.675 -4.125 0.438
Al Au Pr
6 6 2
Cartesian
-6.632 -2.200 -3.427 Al
-5.395 -5.057 -2.485 Al
-9.527 -4.605 -6.919 Al
-8.289 -7.462 -5.977 Al
-9.727 -2.877 -4.170 Al
-5.195 -6.785 -5.234 Al
-8.066 -1.544 -5.434 Au
-7.268 -3.627 -1.505 Au
-7.654 -6.036 -7.899 Au
-6.855 -8.118 -3.970 Au
-10.871 -5.043 -4.886 Au
-4.050 -4.619 -4.518 Au
-11.703 -7.697 -6.319 Pr
-3.218 -1.965 -3.086 Pr

=====

3.
GaPbSeN2 (PBE, relaxed); uncorrected formation energy = 1.542 eV per atom; excess energy over the best structure of this formula in the dataset = 282 kJ/mol of formula units; magnetization = 0.67 μB/atom
1.0
-4.417 1.147 1.087
0.905 -0.809 4.531
1.729 5.977 0.721
N Ga Se Pb
2 1 1 1
Cartesian
-2.208 0.573 0.543 N
0.453 -0.404 2.266 N
-0.891 3.157 3.170 Ga
0.865 2.988 0.361 Se
0.000 0.000 0.000 Pb

=====

| no. | theoretical density (g cm⁻³) |
| --- | --- |
| 1 | 5.731 |
| 2 | 8.650 |
| 3 | 4.626 |